# 1
First-principles (PBE-GGA) data for a geometry-optimized MnCoIr2 structure, as listed in Alexandria via LeMat-Bulk. Values from VASP.

Cell and atoms, written as Quantum ESPRESSO input:
```
&SYSTEM
  ibrav = 0, nat = 4, ntyp = 3
/
ATOMIC_SPECIES
Ir 192.22 Ir.upf
Co 58.93 Co.upf
Mn 54.94 Mn.upf
CELL_PARAMETERS angstrom
8.5562 -0.0096 -0.0057
8.1405 2.6347 -0.0057
8.1405 1.2798 2.3030
ATOMIC_POSITIONS crystal
Ir 0.9992 0.9992 0.9992
Co 0.7500 0.7500 0.7500
Mn 0.2500 0.2500 0.2500
Ir 0.5008 0.5008 0.5008
```

Values from the calculation:
V, Å³ per cell: 52.22
Crystal system: trigonal
Space group: No. 166
E_form, eV/atom: 0.021

***

# 2
First-principles (PBE-GGA) data for a geometry-optimized BaTl4Cd2 structure, as listed in Alexandria via LeMat-Bulk. Values from VASP.

Cell and atoms, written as Quantum ESPRESSO input:
```
&SYSTEM
  ibrav = 0, nat = 7, ntyp = 3
/
ATOMIC_SPECIES
Tl 204.38 Tl.upf
Cd 112.41 Cd.upf
Ba 137.33 Ba.upf
CELL_PARAMETERS angstrom
-3.1700 1.5482 4.6062
-1.4549 -4.9559 4.3186
3.5018 1.9786 5.3990
ATOMIC_POSITIONS crystal
Tl 0.6928 0.6144 0.0000
Cd 0.7500 0.5000 0.5000
Ba 0.0000 0.0000 0.0000
Cd 0.2500 0.5000 0.5000
Tl 0.3072 0.3856 0.0000
Tl 0.6928 0.0000 0.6144
Tl 0.3072 0.0000 0.3856
```

Values from the calculation:
V, Å³ per cell: 214.16
Offset from the most stable computed form, kJ/mol of formula units: 4
Crystal system: tetragonal
Space group: No. 139
E_form, eV/atom: -0.146

***

# 3
First-principles (PBE-GGA) data for a geometry-optimized LaCe2CuS5 structure, as listed in Alexandria via LeMat-Bulk. Values from VASP.

Cell and atoms, written as Quantum ESPRESSO input:
```
&SYSTEM
  ibrav = 0, nat = 18, ntyp = 4
/
ATOMIC_SPECIES
Cu 63.55 Cu.upf
La 138.91 La.upf
Ce 140.12 Ce.upf
S 32.06 S.upf
CELL_PARAMETERS angstrom
-0.3488 -2.9069 2.6188
6.3111 -2.8050 -5.2189
8.2035 5.3583 7.0404
ATOMIC_POSITIONS crystal
Cu 0.5436 0.0871 0.9171
La 0.8244 0.6487 0.5314
Ce 0.8830 0.7660 0.8508
S 0.7023 0.4047 0.2020
Ce 0.1170 0.2340 0.3508
S 0.5114 0.0227 0.2456
S 0.3246 0.6492 0.3565
S 0.2977 0.5953 0.7020
S 0.0079 0.0159 0.0070
S 0.6553 0.3106 0.5215
S 0.4886 0.9773 0.7456
Cu 0.4564 0.9129 0.4171
Ce 0.8879 0.7757 0.1919
S 0.3447 0.6894 0.0215
Ce 0.1121 0.2243 0.6919
S 0.6754 0.3508 0.8565
S 0.9921 0.9841 0.5070
La 0.1756 0.3513 0.0314
```

Values from the calculation:
Energy relative to the elements, uncorrected, eV per atom: -1.731
V, Å³ per cell: 399.56
Crystal system: orthorhombic
Space group: No. 36

***

# 4
First-principles (PBE-GGA) data for a geometry-optimized AgIrBr structure, as listed in Alexandria via LeMat-Bulk. Values from VASP.

Cell and atoms, written as Quantum ESPRESSO input:
```
&SYSTEM
  ibrav = 0, nat = 3, ntyp = 3
/
ATOMIC_SPECIES
Ag 107.87 Ag.upf
Br 79.90 Br.upf
Ir 192.22 Ir.upf
CELL_PARAMETERS angstrom
7.5866 0.0122 -0.0071
6.6283 2.9228 0.0006
0.9583 -1.4361 2.5317
ATOMIC_POSITIONS crystal
Ag 0.0077 0.0077 0.9923
Br 0.3209 0.3209 0.6791
Ir 0.6714 0.6714 0.3286
```

Values from the calculation:
Energy relative to the elements, uncorrected, eV per atom: 0.722
V, Å³ per cell: 56.03
Offset from the most stable computed form, kJ/mol of formula units: 0
Crystal system: orthorhombic
Space group: No. 42

***

Q: V of number 4 (AgIrBr)?
A: 56.03 Å³ per cell